No. 1
PBE-GGA TbHoGaNi, optimized geometry; energy relative to the lowest polymorph listed for this composition = 48.3 meV per atom; space-group type = No. 216; DOS at the Fermi energy = 0.8952 states/eV/atom; E_tot = -4.95 eV/atom
1.0
0.0000 3.4889 3.4889
3.4889 0.0000 3.4889
3.4889 3.4889 0.0000
Tb Ho Ga Ni
1 1 1 1
Cartesian
0.0000 0.0000 0.0000
3.4889 3.4889 3.4889
1.7445 1.7445 1.7445
5.2334 5.2334 5.2334


No. 2
PBE-GGA Cd2PbW, optimized geometry; space-group type = No. 122; DOS at the Fermi energy = 0.2874 states/eV/atom; E_tot = -3.64 eV/atom
1.0
-4.0841 4.0841 2.8192
4.0841 -4.0841 2.8192
4.0841 4.0841 -2.8192
Cd Pb W
4 2 2
Cartesian
6.1261 1.7913 -0.7048
1.7913 2.0420 0.7048
-2.0420 2.2928 2.1144
2.2928 2.0420 3.5240
4.0841 0.0000 1.4096
0.0000 0.0000 2.8192
0.0000 0.0000 0.0000
0.0000 4.0841 1.4096


No. 3
PBE-GGA GdZr2Al, optimized geometry; energy relative to the lowest polymorph listed for this composition = 0.0 meV per atom; space-group type = No. 123; DOS at the Fermi energy = 0.6852 states/eV/atom; E_tot = -8.91 eV/atom
1.0
4.5256 0.0000 0.0000
0.0000 4.5256 0.0000
0.0000 0.0000 4.4261
Gd Zr Al
1 2 1
Cartesian
0.0000 0.0000 0.0000
0.0000 2.2628 2.2131
2.2628 0.0000 2.2131
2.2628 2.2628 0.0000


No. 4
PBE-GGA ScTc2Ni, optimized geometry; energy relative to the lowest polymorph listed for this composition = 53.4 meV per atom; space-group type = No. 6; DOS at the Fermi energy = 0.8526 states/eV/atom; E_tot = -8.28 eV/atom
1.0
2.8591 0.0000 0.0000
0.0000 4.2722 0.0000
-0.8319 0.0000 4.9662
Sc Tc Ni
1 2 1
Cartesian
0.0000 0.0000 0.0000
0.6991 0.0000 2.5310
1.8284 2.1361 1.7603
0.5532 2.1361 4.0904